(1)
Compound: AcCePm2N4
Source: the Alexandria database
Functional: GGA-PBE
Structure: optimized geometry

Cell lengths 3.674, 6.383, 6.351 Å; angles 109.23, 90.00, 90.00 degrees
Fractional positions:
N: 0.000 0.771 0.253
N: 0.500 0.237 0.249
N: 0.500 0.763 0.751
N: 0.000 0.229 0.747
Pm: 0.000 0.500 0.500
Pm: 0.500 0.000 0.500
Ac: 0.500 0.500 0.000
Ce: 0.000 0.000 0.000

Summary:
Formation energy without anion corrections   -1.32 eV per atom

=====

(2)
Compound: AgAs2
Source: the Alexandria database
Functional: GGA-PBE
Structure: optimized geometry

Cell lengths 3.681, 3.681, 5.276 Å; angles 90.00, 90.00, 120.00 degrees
Fractional positions:
Ag: 0.000 0.000 0.000
As: 0.333 0.667 0.359
As: 0.667 0.333 0.641

Summary:
Formation energy   149 meV per atom

=====

Number 1: N(E_F) 0.495 states/eV per atom, final energy -7.925 eV/atom. Number 2: N(E_F) 0.408 states/eV per atom, final energy -3.902 eV/atom.